First-principles (PBE-GGA) data for an optimized crystal structure of BaGdMg4, as listed in the Alexandria database.

abc: 6.323 6.323 6.323
angles: 60.00 60.00 60.00
Fractional coordinates of all 6 atoms:
Mg1 0.626 0.121 0.626
Mg2 0.626 0.626 0.121
Mg3 0.121 0.626 0.626
Mg4 0.626 0.626 0.626
Ba1 0.250 0.250 0.250
Gd1 0.000 0.000 0.000

Volume (Å³ per atom): 29.79
DFT total energy (eV per cell): -22.625
Formation enthalpy at 0 K (kJ/mol of formula units): -23
Total magnetic moment (μB per atom): 1.27
Fermi-level density of states (states/eV per cell): 7.744


First-principles (PBE-GGA) data for an optimized crystal structure of HfSi2Ir, as listed in the Alexandria database.

abc: 2.965 2.965 9.253
angles: 80.78 80.78 60.00
Fractional coordinates of all 4 atoms:
Si1 0.401 0.401 0.797
Si2 0.599 0.599 0.203
Ir1 0.000 0.000 0.000
Hf1 0.500 0.500 0.500

Volume (Å³ per atom): 17.31
DFT total energy (eV per cell): -29.653
Total magnetic moment (μB per atom): 0.00
Energy relative to the elements, uncorrected (eV per atom): 0.00
Fermi-level density of states (states/eV per cell): 2.042


First-principles (PBE-GGA) data for an optimized crystal structure of AlCo3Os, as listed in the Alexandria database.

abc: 4.444 4.444 4.444
angles: 90.00 90.00 90.00
Fractional coordinates of all 5 atoms:
Co1 0.000 0.000 0.500
Co2 0.000 0.500 0.000
Co3 0.500 0.000 0.000
Os1 0.000 0.000 0.000
Al1 0.500 0.500 0.500

Volume (Å³ per atom): 17.55
DFT total energy (eV per cell): -29.312
Formation enthalpy at 0 K (kJ/mol of formula units): 673
Total magnetic moment (μB per atom): 0.52
Excess energy over the best structure of this formula in the dataset (eV/atom): 0.100
Fermi-level density of states (states/eV per cell): 10.710